La6Sb3Se2S after structural relaxation, computed with PBE. Values from VASP.

The structure in Quantum ESPRESSO input format:
```
&SYSTEM
  ibrav = 0, nat = 12, ntyp = 4
/
ATOMIC_SPECIES
La 138.91 La.upf
Sb 121.76 Sb.upf
Se 78.96 Se.upf
S 32.06 S.upf
ATOMIC_POSITIONS angstrom
La -1.775 -6.138 6.661
La -3.316 -2.968 3.835
La -1.312 0.844 3.421
La -0.979 -1.839 0.148
La -2.107 -3.456 9.934
La 0.229 -2.326 6.247
Sb -4.004 -2.851 0.725
Sb -0.608 0.732 6.581
Sb -2.479 -6.027 3.501
Se -2.691 -3.175 6.886
Se -0.396 -2.120 3.196
S -1.912 1.055 0.463
CELL_PARAMETERS angstrom
-3.823 2.110 0.926
-4.185 -7.811 0.523
4.921 0.407 8.633
```

Summary:
Uncorrected formation energy = -1.66 eV/atom


La6SbSe3S2 after structural relaxation, computed with PBE. Values from VASP.

The structure in Quantum ESPRESSO input format:
```
&SYSTEM
  ibrav = 0, nat = 12, ntyp = 4
/
ATOMIC_SPECIES
La 138.91 La.upf
Sb 121.76 Sb.upf
Se 78.96 Se.upf
S 32.06 S.upf
ATOMIC_POSITIONS angstrom
La 0.000 6.176 6.238
La 2.157 4.134 3.272
La 2.157 -0.005 3.142
La 0.000 2.249 0.189
La 2.157 3.923 9.190
La 0.000 2.037 6.107
Sb 2.157 0.000 0.000
Se 2.157 4.337 0.153
Se 2.157 -0.227 6.165
Se 0.000 6.399 3.215
S 2.157 4.099 6.216
S 0.000 2.072 3.164
CELL_PARAMETERS angstrom
4.314 0.000 0.000
0.000 8.674 0.307
-2.157 -2.502 9.073
```

Summary:
Uncorrected formation energy = -1.91 eV/atom


La4SbSeS2 after structural relaxation, computed with PBE. Values from VASP.

The structure in Quantum ESPRESSO input format:
```
&SYSTEM
  ibrav = 0, nat = 8, ntyp = 4
/
ATOMIC_SPECIES
La 138.91 La.upf
Sb 121.76 Sb.upf
Se 78.96 Se.upf
S 32.06 S.upf
ATOMIC_POSITIONS angstrom
La 0.000 7.747 5.007
La 4.311 2.394 1.805
La 2.156 6.435 1.607
La 2.156 3.706 5.205
Sb 2.156 6.383 6.896
Se 0.000 5.070 3.406
S 0.000 2.625 6.980
S 2.156 1.313 3.490
CELL_PARAMETERS angstrom
4.311 0.000 0.000
0.000 7.516 -0.169
0.000 2.625 6.980
```

Summary:
Uncorrected formation energy = -1.88 eV/atom


LaSnSbS2 after structural relaxation, computed with PBE. Values from VASP.

The structure in Quantum ESPRESSO input format:
```
&SYSTEM
  ibrav = 0, nat = 5, ntyp = 4
/
ATOMIC_SPECIES
Sb 121.76 Sb.upf
S 32.06 S.upf
Sn 118.71 Sn.upf
La 138.91 La.upf
ATOMIC_POSITIONS angstrom
Sb 2.494 3.201 2.494
S 0.000 0.000 2.494
S 2.494 0.000 0.000
Sn 0.000 0.000 0.000
La 0.000 3.201 0.000
CELL_PARAMETERS angstrom
4.988 0.000 0.000
0.000 6.402 0.000
0.000 0.000 4.988
```

Summary:
Uncorrected formation energy = 0.06 eV/atom


Sr3LaSb2S after structural relaxation, computed with PBE. Values from VASP.

The structure in Quantum ESPRESSO input format:
```
&SYSTEM
  ibrav = 0, nat = 7, ntyp = 4
/
ATOMIC_SPECIES
Sr 87.62 Sr.upf
La 138.91 La.upf
Sb 121.76 Sb.upf
S 32.06 S.upf
ATOMIC_POSITIONS angstrom
Sr 0.000 2.747 0.000
Sr 2.677 2.747 3.245
Sr 0.000 0.000 6.113
La 2.677 0.000 0.000
Sb 0.000 0.000 2.777
Sb 2.677 2.747 6.581
S 0.000 0.000 0.000
CELL_PARAMETERS angstrom
5.354 0.000 0.000
0.000 5.494 0.000
-2.677 -2.747 9.359
```

Summary:
Uncorrected formation energy = -0.70 eV/atom


LaTbSbS after structural relaxation, computed with PBE. Values from VASP.

The structure in Quantum ESPRESSO input format:
```
&SYSTEM
  ibrav = 0, nat = 4, ntyp = 4
/
ATOMIC_SPECIES
La 138.91 La.upf
Tb 158.93 Tb.upf
Sb 121.76 Sb.upf
S 32.06 S.upf
ATOMIC_POSITIONS angstrom
La 2.476 0.939 2.820
Tb -1.688 0.938 6.482
Sb -1.689 3.344 0.765
S 0.393 -0.265 4.810
CELL_PARAMETERS angstrom
4.165 -0.001 -0.001
-2.082 3.608 0.000
-2.082 -1.203 7.553
```

Summary:
Uncorrected formation energy = -1.47 eV/atom